(1)
Density functional theory data (GGA-PBE) for a relaxed structure of Ce4PuSn2.

Magnetic moment = 11.32 μB/cell
Space group = No. 139
Crystal system = tetragonal
Calculated formation energy = -0.1057 eV/atom

The structure in POSCAR format:
```
Ce4PuSn2
1.0
-2.896 2.896 6.093
2.896 -2.896 6.093
2.896 2.896 -6.093
Ce Pu Sn
4 1 2
direct
0.000 0.500 0.500
0.250 0.750 0.500
0.500 0.000 0.500
0.750 0.250 0.500
0.000 0.000 0.000
0.370 0.370 0.000
0.630 0.630 0.000
```

=====

(2)
Density functional theory data (GGA-PBE) for a relaxed structure of Ce6PuSn.

Magnetic moment = 1.66 μB/cell
Space group = No. 123
Crystal system = tetragonal
E above lowest polymorph = 0.076 eV/atom
Calculated formation energy = -0.1659 eV/atom

The structure in POSCAR format:
```
Ce6PuSn
1.0
4.708 0.000 0.000
0.000 4.708 0.000
0.000 0.000 9.572
Ce Pu Sn
6 1 1
direct
0.000 0.000 0.000
0.000 0.000 0.500
0.000 0.500 0.244
0.000 0.500 0.756
0.500 0.000 0.244
0.500 0.000 0.756
0.500 0.500 0.000
0.500 0.500 0.500
```

=====

(3)
Density functional theory data (GGA-PBE) for a relaxed structure of Ce5PuSn6.

Magnetic moment = 5.73 μB/cell
Space group = No. 71
Crystal system = orthorhombic
Calculated formation energy = -0.5577 eV/atom

The structure in POSCAR format:
```
Ce5PuSn6
1.0
-2.447 4.562 7.300
2.447 -4.562 7.300
2.447 4.562 -7.300
Ce Pu Sn
5 1 6
direct
0.000 0.000 0.000
0.167 0.667 0.500
0.343 0.343 0.000
0.657 0.657 0.000
0.833 0.333 0.500
0.500 0.000 0.500
0.081 0.832 0.249
0.247 0.500 0.747
0.417 0.168 0.249
0.583 0.832 0.751
0.753 0.500 0.253
0.919 0.168 0.751
```

=====

(4)
Density functional theory data (GGA-PBE) for a relaxed structure of Ce3Pu3Sn.

Magnetic moment = 34.75 μB/cell
Space group = No. 223
Crystal system = cubic
Calculated formation energy = 0.8677 eV/atom

The structure in POSCAR format:
```
Ce3Pu3Sn
1.0
7.452 0.000 0.000
0.000 7.452 0.000
0.000 0.000 7.452
Ce Pu Sn
6 6 2
direct
0.000 0.250 0.500
0.000 0.750 0.500
0.250 0.500 0.000
0.500 0.000 0.250
0.500 0.000 0.750
0.750 0.500 0.000
0.000 0.500 0.250
0.000 0.500 0.750
0.250 0.000 0.500
0.500 0.250 0.000
0.500 0.750 0.000
0.750 0.000 0.500
0.000 0.000 0.000
0.500 0.500 0.500
```